1.
First-principles (PBE) data for a relaxed structure of Pm2Ho3TmTe6, as listed in Alexandria via LeMat-Bulk.

Lattice parameters (Å, degrees): 9.795 9.795 8.803 102.56 102.56 25.58
Sites, in units of the cell vectors:
1 Pm 0.172 0.172 0.337
2 Pm 0.828 0.828 0.663
3 Ho 0.174 0.174 0.835
4 Ho 0.500 0.500 0.500
5 Ho 0.826 0.826 0.165
6 Tm 0.500 0.500 0.000
7 Te 0.003 0.003 0.754
8 Te 0.338 0.338 0.927
9 Te 0.339 0.339 0.412
10 Te 0.661 0.661 0.588
11 Te 0.662 0.662 0.073
12 Te 0.997 0.997 0.246

Results
* M_tot: 0.000 μB/atom
* ΔE_f (raw): -1.2896 eV per atom
* total DFT energy (no corrections): -5.17 eV per atom
* symmetry: C2/m (12)


2.
First-principles (PBE) data for a relaxed structure of LuAlV, as listed in Alexandria via LeMat-Bulk.

Lattice parameters (Å, degrees): 5.599 5.599 5.599 144.36 144.36 51.29
Sites, in units of the cell vectors:
1 Lu 0.000 0.000 0.000
2 Al 0.693 0.693 0.000
3 V 0.315 0.315 0.000

Results
* M_tot: 0.956 μB/atom
* total DFT energy (no corrections): -5.80 eV per atom
* energy of formation from the pure elements: -2.0 meV/atom
* polymorph energy (0 for the lowest one): 0.00 eV per formula unit
* symmetry: I4mm (107)


3.
First-principles (PBE) data for a relaxed structure of PmPr2Bi2, as listed in Alexandria via LeMat-Bulk.

Lattice parameters (Å, degrees): 8.272 8.272 8.272 114.24 84.29 133.55
Sites, in units of the cell vectors:
1 Pm 0.250 0.250 0.000
2 Pm 0.750 0.750 0.000
3 Pr 0.150 0.642 0.793
4 Pr 0.350 0.142 0.492
5 Pr 0.650 0.858 0.508
6 Pr 0.850 0.358 0.207
7 Bi 0.110 0.283 0.393
8 Bi 0.390 0.783 0.172
9 Bi 0.610 0.217 0.828
10 Bi 0.890 0.717 0.607

Results
* M_tot: 0.000 μB/atom
* total DFT energy (no corrections): -5.07 eV per atom
* energy of formation from the pure elements: -660.1 meV/atom
* symmetry: Ibam (72)